The following is a DFT calculation (PBE-GGA) of Hf2HgW2 after structural relaxation.

extended XYZ file:
```
5
Lattice="-0.7075 3.6665 -0.2812 -3.2336 -0.7566 -1.7304 -5.5592 1.2825 5.7759" Properties=species:S:1:pos:R:3 pbc="T T T"
Hf -6.7534 2.7748 3.3030
Hg 0.0000 0.0000 0.0000
W -4.1186 3.2020 2.2445
Hf -2.7469 1.4176 0.4614
W -5.3817 0.9904 1.5199
```

Summary:
For the energy of formation from the pure elements, the calculation gives 0.527 eV/atom. The energy is -0.3196 Ha/atom. The energy above the most stable polymorph in this dataset is 0 meV/atom.